Crystalline RbInF2 at its relaxed geometry, computed with PBE-GGA.

Summary:
- total magnetic moment (μB/f.u.) = 0.0
- uncorrected formation energy (eV/atom) = -2.07

Cell lengths 3.8579, 3.8579, 7.3369 Å; angles 74.76, 74.76, 60.00 degrees
Fractional positions:
1 Rb 0.4986 0.4986 0.5043
2 F 0.0826 0.0826 0.7521
3 F 0.2508 0.2508 0.2476
4 In 0.6680 0.6680 0.9960

Crystalline Nb2ZnB at its relaxed geometry, computed with PBE-GGA.

Summary:
- total magnetic moment (μB/f.u.) = 0.0
- ΔE_f (meV per atom) = -267

Cell lengths 3.2123, 3.2123, 7.0566 Å; angles 76.84, 76.84, 60.00 degrees
Fractional positions:
1 B 0.0000 0.0000 0.0000
2 Nb 0.7290 0.7290 0.8131
3 Nb 0.2710 0.2710 0.1869
4 Zn 0.5000 0.5000 0.5000

Crystalline PrErN2 at its relaxed geometry, computed with PBE-GGA.

Summary:
- total magnetic moment (μB/f.u.) = 0.0
- uncorrected formation energy (eV/atom) = -1.24

Cell lengths 3.4997, 3.4997, 6.4178 Å; angles 74.18, 74.18, 60.00 degrees
Fractional positions:
1 N 0.0834 0.0834 0.7498
2 N 0.2423 0.2423 0.2730
3 Er 0.5019 0.5019 0.4944
4 Pr 0.6724 0.6724 0.9828

Crystalline YMnOs2 at its relaxed geometry, computed with PBE-GGA.

Summary:
- total magnetic moment (μB/f.u.) = 2.8
- ΔE_f (meV per atom) = 292

Cell lengths 3.3235, 4.4829, 4.4829 Å; angles 90.00, 90.00, 90.00 degrees
Site moments in Bohr magnetons follow the coordinates.
Fractional positions:
1 Os 0.0000 0.5000 0.5000  -0.22
2 Os 0.0000 0.0000 0.0000  -0.22
3 Mn 0.5000 0.0000 0.5000  3.19
4 Y 0.5000 0.5000 0.0000  -0.02